1.
First-principles (PBE) data for a relaxed structure of Ba2TlHg4Pb3, as listed in the Alexandria database.

Unit cell a=5.1646 b=5.1646 c=12.3783 alpha=90.00 beta=90.00 gamma=90.00
Closest atoms and distances in Å follow each position.
Sites, in units of the cell vectors:
Ba: 0.0000 0.5000 0.2370  6 Pb 3.88-4.16, 8 Hg 3.91-3.99, 2 Tl 4.16
Ba: 0.5000 0.0000 0.7630  6 Pb 3.88-4.16, 8 Hg 3.91-3.99, 2 Tl 4.16
Tl: 0.0000 0.0000 0.5000  4 Hg 3.07
Hg: 0.0000 0.0000 0.0000  4 Pb 3.05
Hg: 0.0000 0.5000 0.6337  3 Pb 2.91-3.07, 2 Tl 3.07
Hg: 0.5000 0.0000 0.3663  3 Pb 2.91-3.07, 2 Tl 3.07
Hg: 0.5000 0.5000 0.0000  4 Pb 3.05
Pb: 0.0000 0.5000 0.8687  5 Hg 2.91-3.05
Pb: 0.5000 0.0000 0.1313  5 Hg 2.91-3.05
Pb: 0.5000 0.5000 0.5000  4 Hg 3.07

Summary:
* density of states at the Fermi level: 4.0 states/eV/f.u.
* crystal system: tetragonal
* size of the total moment: 0.0 μB/f.u.
* formation energy from the elements: -0.315 eV per atom
* DFT total energy: -2.169 eV/atom

***

2.
First-principles (PBE) data for a relaxed structure of Ba2TlHgPb2, as listed in the Alexandria database.

Unit cell a=9.5419 b=9.5419 c=9.5419 alpha=133.82 beta=67.47 gamma=133.70
Closest atoms and distances in Å follow each position.
Sites, in units of the cell vectors:
Ba: 0.1486 0.2434 0.3919  2 Hg 3.52, 2 Tl 3.57, 5 Pb 3.69-3.86
Ba: 0.3514 0.7434 0.0948  2 Hg 3.52, 2 Tl 3.57, 5 Pb 3.69-3.86
Ba: 0.6486 0.2566 0.9052  2 Hg 3.52, 2 Tl 3.57, 5 Pb 3.69-3.86
Ba: 0.8514 0.7566 0.6081  2 Hg 3.52, 2 Tl 3.57, 5 Pb 3.69-3.86
Tl: 0.2500 0.7500 0.5000  4 Pb 3.26, 4 Ba 3.57
Tl: 0.7500 0.2500 0.5000  4 Pb 3.26, 4 Ba 3.57
Hg: 0.2500 0.2500 0.0000  4 Pb 3.22, 4 Ba 3.52
Hg: 0.7500 0.7500 0.0000  4 Pb 3.22, 4 Ba 3.52
Pb: 0.1177 0.7549 0.8726  2 Hg 3.22, 2 Tl 3.26
Pb: 0.3823 0.2549 0.6372  2 Hg 3.22, 2 Tl 3.26
Pb: 0.6177 0.7451 0.3628  2 Hg 3.22, 2 Tl 3.26
Pb: 0.8823 0.2451 0.1274  2 Hg 3.22, 2 Tl 3.26

Summary:
* density of states at the Fermi level: 2.8 states/eV/f.u.
* crystal system: orthorhombic
* size of the total moment: 0.0 μB/f.u.
* formation energy from the elements: -0.435 eV per atom
* DFT total energy: -2.756 eV/atom

***

3.
First-principles (PBE) data for a relaxed structure of Ba2TlHg6Pb, as listed in the Alexandria database.

Unit cell a=8.1971 b=8.1971 c=8.1971 alpha=60.00 beta=60.00 gamma=60.00
Closest atoms and distances in Å follow each position.
Sites, in units of the cell vectors:
Ba: 0.2500 0.2500 0.2500  12 Hg 4.10
Ba: 0.7500 0.7500 0.7500  12 Hg 4.10
Tl: 0.0000 0.0000 0.0000  6 Hg 2.87
Hg: 0.2479 0.2479 0.7521  1 Tl 2.87, 1 Pb 2.92
Hg: 0.2479 0.7521 0.2479  1 Tl 2.87, 1 Pb 2.92
Hg: 0.2479 0.7521 0.7521  1 Tl 2.87, 1 Pb 2.92
Hg: 0.7521 0.2479 0.2479  1 Tl 2.87, 1 Pb 2.92
Hg: 0.7521 0.2479 0.7521  1 Tl 2.87, 1 Pb 2.92
Hg: 0.7521 0.7521 0.2479  1 Tl 2.87, 1 Pb 2.92
Pb: 0.5000 0.5000 0.5000  6 Hg 2.92

Summary:
* density of states at the Fermi level: 7.1 states/eV/f.u.
* crystal system: cubic
* size of the total moment: 0.0 μB/f.u.
* formation energy from the elements: -0.066 eV per atom
* DFT total energy: -1.239 eV/atom